Computed, not measured: a geometry-optimized BaPm3P structure at the PBE-GGA level of DFT.

Cell lengths 5.6756, 5.6756, 5.6756 Å; angles 90.00, 90.00, 90.00 degrees
Last column: nearest neighbours and their distance in Å.
Positions (direct):
Pm  0.5000  0.0000  0.0000  2 P 2.84
Pm  0.0000  0.5000  0.0000  2 P 2.84
P  0.0000  0.0000  0.0000  6 Pm 2.84
Pm  0.0000  0.0000  0.5000  2 P 2.84
Ba  0.5000  0.5000  0.5000  12 Pm 4.01

D(E_F)	8.81	states/eV/f.u.
ΔH_f (0 K)	-1.90	eV/f.u.
total magnetization	0.00	μB per formula unit

***

Computed, not measured: a geometry-optimized BaPmP2Pt4 structure at the PBE-GGA level of DFT.

Cell lengths 4.1067, 4.1067, 10.5016 Å; angles 90.00, 90.00, 90.00 degrees
Last column: nearest neighbours and their distance in Å.
Positions (direct):
P  0.5000  0.5000  0.6784  4 Pt 2.36
Pm  0.0000  0.0000  0.0000  8 Pt 3.02
Ba  0.0000  0.0000  0.5000  8 P 3.46, 8 Pt 3.67
Pt  0.0000  0.5000  0.7891  2 P 2.36
Pt  0.5000  0.0000  0.7891  2 P 2.36
Pt  0.5000  0.0000  0.2109  2 P 2.36
P  0.5000  0.5000  0.3216  4 Pt 2.36
Pt  0.0000  0.5000  0.2109  2 P 2.36

D(E_F)	4.54	states/eV/f.u.
ΔH_f (0 K)	-6.87	eV/f.u.
total magnetization	0.00	μB per formula unit

***

Computed, not measured: a geometry-optimized BaPrP2 structure at the PBE-GGA level of DFT.

Cell lengths 4.3624, 4.3624, 7.8131 Å; angles 73.79, 73.79, 60.00 degrees
Last column: nearest neighbours and their distance in Å.
Positions (direct):
Ba  0.5000  0.5000  0.5000  6 P 3.28
P  0.7389  0.7389  0.7832  3 Pr 2.99, 3 Ba 3.28
Pr  0.0000  0.0000  0.0000  6 P 2.99
P  0.2611  0.2611  0.2168  3 Pr 2.99, 3 Ba 3.28

D(E_F)	4.16	states/eV/f.u.
ΔH_f (0 K)	-4.24	eV/f.u.
total magnetization	0.00	μB per formula unit

***

Computed, not measured: a geometry-optimized Ba2PrP structure at the PBE-GGA level of DFT.

Cell lengths 4.2882, 4.2882, 11.9236 Å; angles 79.64, 79.64, 60.00 degrees
Last column: nearest neighbours and their distance in Å.
Positions (direct):
Ba  0.1141  0.1141  0.6576  3 P 3.08
P  0.5000  0.5000  0.5000  6 Ba 3.08
Pr  0.0000  0.0000  0.0000  2 Ba 3.99, 6 Pr 4.29
Ba  0.8859  0.8859  0.3424  3 P 3.08

D(E_F)	3.73	states/eV/f.u.
ΔH_f (0 K)	-1.01	eV/f.u.
total magnetization	0.00	μB per formula unit

***

Computed, not measured: a geometry-optimized BaPr2P structure at the PBE-GGA level of DFT.

Cell lengths 4.0730, 4.0730, 11.1412 Å; angles 79.47, 79.47, 60.00 degrees
Last column: nearest neighbours and their distance in Å.
Positions (direct):
Ba  0.0000  0.0000  0.0000  2 Pr 3.83, 6 Ba 4.07
Pr  0.1171  0.1171  0.6487  3 P 2.85
P  0.5000  0.5000  0.5000  6 Pr 2.85
Pr  0.8829  0.8829  0.3513  3 P 2.85

D(E_F)	4.55	states/eV/f.u.
ΔH_f (0 K)	-2.42	eV/f.u.
total magnetization	0.00	μB per formula unit

***

Computed, not measured: a geometry-optimized BaPr3P structure at the PBE-GGA level of DFT.

Cell lengths 5.7670, 5.7670, 5.7670 Å; angles 90.00, 90.00, 90.00 degrees
Last column: nearest neighbours and their distance in Å.
Positions (direct):
Pr  0.0000  0.0000  0.5000  2 P 2.88
Pr  0.0000  0.5000  0.0000  2 P 2.88
Pr  0.5000  0.0000  0.0000  2 P 2.88
Ba  0.5000  0.5000  0.5000  12 Pr 4.08
P  0.0000  0.0000  0.0000  6 Pr 2.88

D(E_F)	9.34	states/eV/f.u.
ΔH_f (0 K)	-1.91	eV/f.u.
total magnetization	0.00	μB per formula unit

***

Computed, not measured: a geometry-optimized BaPrP2Se8 structure at the PBE-GGA level of DFT.

Cell lengths 6.3382, 6.3382, 9.9078 Å; angles 90.00, 90.00, 120.00 degrees
Last column: nearest neighbours and their distance in Å.
Positions (direct):
Pr  0.0000  0.0000  0.5000  6 Se 3.02
P  0.3333  0.6667  0.7618  4 Se 2.21-2.25
Ba  0.0000  0.0000  0.0000  12 Se 3.66-3.77
P  0.6667  0.3333  0.2382  4 Se 2.21-2.25
Se  0.6667  0.3333  0.0152  1 P 2.21
Se  0.3486  0.3756  0.3021  1 P 2.25
Se  0.9730  0.3486  0.6979  1 P 2.25
Se  0.6514  0.6244  0.6979  1 P 2.25
Se  0.3756  0.0270  0.6979  1 P 2.25
Se  0.0270  0.6514  0.3021  1 P 2.25
Se  0.3333  0.6667  0.9848  1 P 2.21
Se  0.6244  0.9730  0.3021  1 P 2.25

D(E_F)	10.30	states/eV/f.u.
total magnetization	0.00	μB per formula unit
E_form (uncorrected)	-8.33	eV/f.u.

***

Computed, not measured: a geometry-optimized Ba2PrUP4 structure at the PBE-GGA level of DFT.

Cell lengths 4.2880, 7.3726, 7.7155 Å; angles 108.68, 90.00, 90.00 degrees
Last column: nearest neighbours and their distance in Å.
Positions (direct):
Ba  0.0000  0.5000  0.5000  6 P 3.21
P  0.0000  0.2844  0.8014  2 U 2.81, 1 Pr 2.97
P  0.0000  0.7156  0.1986  2 U 2.81, 1 Pr 2.97
Pr  0.0000  0.0000  0.0000  6 P 2.97
U  0.5000  0.5000  0.0000  6 P 2.74-2.81
P  0.5000  0.2585  0.2059  1 U 2.74, 2 Pr 2.97
P  0.5000  0.7415  0.7941  1 U 2.74, 2 Pr 2.97
Ba  0.5000  0.0000  0.5000  6 P 3.36-3.40

D(E_F)	4.99	states/eV/f.u.
ΔH_f (0 K)	-8.70	eV/f.u.
total magnetization	0.97	μB per formula unit